Here is an optimized crystal structure of BeTeRh2 from the Alexandria database. Energies are from PBE.

The structure in POSCAR format:
```
BeTeRh2
1.0
8.0339 0.0025 0.0015
7.4454 3.0183 0.0015
7.4454 1.4530 2.6456
Be Rh Te
1 2 1
Cartesian
16.9132 3.3007 1.9540
5.7417 1.1205 0.6634
0.2560 0.0500 0.0296
11.4731 2.2390 1.3255
```

Values from the calculation:
space-group type = R3m, No. 160
ΔE to the lowest computed polymorph = 0.529 eV per atom
total magnetization = 0.000 μB per cell
DOS at the Fermi energy = 3.7 states/eV/cell